DFT (PBE) results for a relaxed structure of Cu4IrOs.

a = 4.747 Å, b = 4.747 Å, c = 4.747 Å
α = 60.00°, β = 60.00°, γ = 60.00°
Site moments in Bohr magnetons follow the coordinates.
Element x y z (fractional)
Cu 0.375 0.875 0.375  0.07
Ir 0.750 0.750 0.750  0.66
Cu 0.875 0.375 0.375  0.07
Os 0.000 0.000 0.000  1.20
Cu 0.375 0.375 0.875  0.07
Cu 0.375 0.375 0.375  0.07

Summary:
The spin magnetization comes out at 2.14 μB per formula unit. Its formation energy is 0.35 eV per atom. The uncorrected energy is -34.399 eV for the cell shown. Its calculated volume is 75.6 Å³ per cell.